A relaxed structure of Li3MnCoO5, computed with GGA+U.

E = -5.9062 eV/atom
Total moment = 6.61 μB/f.u.

Cell lengths 7.826, 7.826, 8.351 Å; angles 105.22, 105.22, 21.11 degrees
Positions (direct):
Li  0.000  0.000  0.000
Li  0.000  0.000  0.500
Li  0.196  0.196  0.098
Li  0.401  0.401  0.720
Li  0.599  0.599  0.280
Li  0.804  0.804  0.902
Mn  0.402  0.402  0.192
Mn  0.598  0.598  0.808
Co  0.200  0.200  0.598
Co  0.800  0.800  0.402
O  0.010  0.010  0.755
O  0.188  0.188  0.842
O  0.204  0.204  0.354
O  0.395  0.395  0.431
O  0.398  0.398  0.969
O  0.602  0.602  0.031
O  0.605  0.605  0.569
O  0.796  0.796  0.646
O  0.812  0.812  0.158
O  0.990  0.990  0.245